{"formula": "Sr2InIrN", "functional": "GGA-PBE", "state": "optimized geometry", "dos_ef_per_ev_cell": 3.55, "raw_formation_energy_mev_per_atom": -467.4, "lattice_angstrom": [[5.5876, 0.0000, 0.0000], [0.0000, 5.5876, 0.0000], [0.0000, 0.0000, 3.8209]], "species": ["N", "In", "Sr", "Sr", "Ir"], "frac_coords": [[0.0000, 0.0000, 0.0000], [0.5000, 0.5000, 0.5000], [0.0000, 0.5000, 0.0000], [0.5000, 0.0000, 0.0000], [0.0000, 0.0000, 0.5000]]}